(1)
Density functional theory data (GGA-PBE) for a relaxed structure of Dy4ErTe5.

Cell and atoms, written as CIF:
```
data_Dy4ErTe5
_chemical_formula_sum 'Dy8 Er2 Te10'
_space_group_name_H-M_alt 'I 4'
_space_group_IT_number 79
_cell_length_a 9.727
_cell_length_b 9.727
_cell_length_c 6.139
_cell_angle_alpha 90.00
_cell_angle_beta 90.00
_cell_angle_gamma 90.00
loop_
_space_group_symop_operation_xyz
'x,y,z'
'-y,x,z'
'-x,-y,z'
'y,-x,z'
'x+1/2,y+1/2,z+1/2'
'-y+1/2,x+1/2,z+1/2'
'-x+1/2,-y+1/2,z+1/2'
'y+1/2,-x+1/2,z+1/2'
loop_
_atom_site_label
_atom_site_type_symbol
_atom_site_fract_x
_atom_site_fract_y
_atom_site_fract_z
_atom_site_occupancy
Dy1 Dy 0.094 0.687 0.000 1
Er1 Er 0.000 0.000 0.499 1
Te1 Te 0.000 0.000 0.999 1
Te2 Te 0.107 0.708 0.500 1
```

Total moment: 0.0 μB per formula unit
Formation energy from raw total energies: -1264 meV per atom
Excess energy over the best structure of this formula in the dataset: 4.0 meV/atom
DOS(E_F): 10.4 states/eV/cell

---

(2)
Density functional theory data (GGA-PBE) for a relaxed structure of DyEr3Te.

Cell and atoms, written as CIF:
```
data_DyEr3Te
_chemical_formula_sum 'Dy4 Er12 Te4'
_space_group_name_H-M_alt 'C 1 2/m 1'
_space_group_IT_number 12
_cell_length_a 12.011
_cell_length_b 5.742
_cell_length_c 8.969
_cell_angle_alpha 90.00
_cell_angle_beta 95.61
_cell_angle_gamma 90.00
loop_
_space_group_symop_operation_xyz
'x,y,z'
'-x,-y,-z'
'-x,y,-z'
'x,-y,z'
'x+1/2,y+1/2,z'
'-x+1/2,-y+1/2,-z'
'-x+1/2,y+1/2,-z'
'x+1/2,-y+1/2,z'
loop_
_atom_site_label
_atom_site_type_symbol
_atom_site_fract_x
_atom_site_fract_y
_atom_site_fract_z
_atom_site_occupancy
Dy1 Dy 0.083 0.000 0.148 1
Er1 Er 0.058 0.500 0.339 1
Er2 Er 0.125 0.000 0.640 1
Er3 Er 0.139 0.500 0.957 1
Te1 Te 0.212 0.500 0.629 1
```

Total moment: 0.0 μB per formula unit
Formation energy from raw total energies: -319 meV per atom
DOS(E_F): 20.6 states/eV/cell

---

(3)
Density functional theory data (GGA-PBE) for a relaxed structure of DyErTe3.

Cell and atoms, written as CIF:
```
data_DyErTe3
_chemical_formula_sum 'Dy4 Er4 Te12'
_space_group_name_H-M_alt 'C m c m'
_space_group_IT_number 63
_space_group_name_Hall '-C 2c 2'
_cell_length_a 4.213
_cell_length_b 14.105
_cell_length_c 10.717
_cell_angle_alpha 90.00
_cell_angle_beta 90.00
_cell_angle_gamma 90.00
loop_
_atom_site_label
_atom_site_type_symbol
_atom_site_fract_x
_atom_site_fract_y
_atom_site_fract_z
_atom_site_occupancy
Dy1 Dy 0.000 0.247 0.250 1
Er1 Er 0.000 0.000 0.000 1
Te1 Te 0.000 0.095 0.750 1
Te2 Te 0.000 0.352 0.567 1
```

Total moment: 0.0 μB per formula unit
Formation energy from raw total energies: -1345 meV per atom
Excess energy over the best structure of this formula in the dataset: 8.3 meV/atom
DOS(E_F): 0.7 states/eV/cell

---

(4)
Density functional theory data (GGA-PBE) for a relaxed structure of DyEr8Te2.

Cell and atoms, written as CIF:
```
data_DyEr8Te2
_chemical_formula_sum 'Dy2 Er16 Te4'
_space_group_name_H-M_alt 'C 1 2/m 1'
_space_group_IT_number 12
_cell_length_a 17.764
_cell_length_b 11.203
_cell_length_c 3.796
_cell_angle_alpha 90.00
_cell_angle_beta 95.94
_cell_angle_gamma 90.00
loop_
_space_group_symop_operation_xyz
'x,y,z'
'-x,-y,-z'
'-x,y,-z'
'x,-y,z'
'x+1/2,y+1/2,z'
'-x+1/2,-y+1/2,-z'
'-x+1/2,y+1/2,-z'
'x+1/2,-y+1/2,z'
loop_
_atom_site_label
_atom_site_type_symbol
_atom_site_fract_x
_atom_site_fract_y
_atom_site_fract_z
_atom_site_occupancy
Dy1 Dy 0.000 0.000 0.000 1
Er1 Er 0.070 0.500 0.282 1
Er2 Er 0.086 0.259 0.782 1
Er3 Er 0.228 0.500 0.860 1
Te1 Te 0.137 0.000 0.567 1
```

Total moment: 0.0 μB per formula unit
Formation energy from raw total energies: -144 meV per atom
DOS(E_F): 25.3 states/eV/cell

---

(5)
Density functional theory data (GGA-PBE) for a relaxed structure of Dy5Er2Te4.

Cell and atoms, written as CIF:
```
data_Dy5Er2Te4
_chemical_formula_sum 'Dy10 Er4 Te8'
_space_group_name_H-M_alt 'C 1 2/m 1'
_space_group_IT_number 12
_cell_length_a 25.066
_cell_length_b 3.869
_cell_length_c 7.236
_cell_angle_alpha 90.00
_cell_angle_beta 94.47
_cell_angle_gamma 90.00
loop_
_space_group_symop_operation_xyz
'x,y,z'
'-x,-y,-z'
'-x,y,-z'
'x,-y,z'
'x+1/2,y+1/2,z'
'-x+1/2,-y+1/2,-z'
'-x+1/2,y+1/2,-z'
'x+1/2,-y+1/2,z'
loop_
_atom_site_label
_atom_site_type_symbol
_atom_site_fract_x
_atom_site_fract_y
_atom_site_fract_z
_atom_site_occupancy
Dy1 Dy 0.000 0.000 0.000 1
Dy2 Dy 0.090 0.500 0.684 1
Dy3 Dy 0.143 0.500 0.151 1
Er1 Er 0.236 0.500 0.787 1
Te1 Te 0.034 0.500 0.300 1
Te2 Te 0.171 0.000 0.500 1
```

Total moment: 0.0 μB per formula unit
Formation energy from raw total energies: -687 meV per atom
DOS(E_F): 26.0 states/eV/cell

---

(6)
Density functional theory data (GGA-PBE) for a relaxed structure of Dy2ErTh3Te6.

Cell and atoms, written as CIF:
```
data_Dy2ErTh3Te6
_chemical_formula_sum 'Dy4 Er2 Th6 Te12'
_space_group_name_H-M_alt 'C 1 2/m 1'
_space_group_IT_number 12
_cell_length_a 19.929
_cell_length_b 4.231
_cell_length_c 9.195
_cell_angle_alpha 90.00
_cell_angle_beta 111.18
_cell_angle_gamma 90.00
loop_
_space_group_symop_operation_xyz
'x,y,z'
'-x,-y,-z'
'-x,y,-z'
'x,-y,z'
'x+1/2,y+1/2,z'
'-x+1/2,-y+1/2,-z'
'-x+1/2,y+1/2,-z'
'x+1/2,-y+1/2,z'
loop_
_atom_site_label
_atom_site_type_symbol
_atom_site_fract_x
_atom_site_fract_y
_atom_site_fract_z
_atom_site_occupancy
Dy1 Dy 0.167 0.000 0.333 1
Er1 Er 0.000 0.500 0.000 1
Th1 Th 0.000 0.500 0.500 1
Th2 Th 0.167 0.000 0.833 1
Te1 Te 0.003 0.000 0.240 1
Te2 Te 0.162 0.500 0.090 1
Te3 Te 0.170 0.500 0.575 1
```

Total moment: 0.0 μB per formula unit
Formation energy from raw total energies: -1130 meV per atom
DOS(E_F): 19.7 states/eV/cell

---

(7)
Density functional theory data (GGA-PBE) for a relaxed structure of Dy2Er3ThTe6.

Cell and atoms, written as CIF:
```
data_Dy2Er3ThTe6
_chemical_formula_sum 'Dy4 Er6 Th2 Te12'
_space_group_name_H-M_alt 'C 1 2/m 1'
_space_group_IT_number 12
_cell_length_a 19.369
_cell_length_b 4.277
_cell_length_c 8.874
_cell_angle_alpha 90.00
_cell_angle_beta 106.68
_cell_angle_gamma 90.00
loop_
_space_group_symop_operation_xyz
'x,y,z'
'-x,-y,-z'
'-x,y,-z'
'x,-y,z'
'x+1/2,y+1/2,z'
'-x+1/2,-y+1/2,-z'
'-x+1/2,y+1/2,-z'
'x+1/2,-y+1/2,z'
loop_
_atom_site_label
_atom_site_type_symbol
_atom_site_fract_x
_atom_site_fract_y
_atom_site_fract_z
_atom_site_occupancy
Dy1 Dy 0.157 0.000 0.310 1
Er1 Er 0.000 0.500 0.500 1
Er2 Er 0.161 0.000 0.822 1
Th1 Th 0.000 0.500 0.000 1
Te1 Te 0.002 0.000 0.738 1
Te2 Te 0.170 0.500 0.576 1
Te3 Te 0.173 0.500 0.073 1
```

Total moment: 0.0 μB per formula unit
Formation energy from raw total energies: -1195 meV per atom
DOS(E_F): 13.9 states/eV/cell

---

(8)
Density functional theory data (GGA-PBE) for a relaxed structure of DyErTh2Te5.

Cell and atoms, written as CIF:
```
data_DyErTh2Te5
_chemical_formula_sum 'Dy1 Er1 Th2 Te5'
_space_group_name_H-M_alt 'P 4/m m m'
_space_group_IT_number 123
_space_group_name_Hall '-P 4 2'
_cell_length_a 5.397
_cell_length_b 5.397
_cell_length_c 11.551
_cell_angle_alpha 90.00
_cell_angle_beta 90.00
_cell_angle_gamma 90.00
loop_
_atom_site_label
_atom_site_type_symbol
_atom_site_fract_x
_atom_site_fract_y
_atom_site_fract_z
_atom_site_occupancy
Dy1 Dy 0.000 0.000 0.000 1
Er1 Er 0.000 0.000 0.500 1
Th1 Th 0.500 0.500 0.337 1
Te1 Te 0.000 0.000 0.247 1
Te2 Te 0.000 0.500 0.500 1
Te3 Te 0.500 0.500 0.000 1
```

Total moment: 0.0 μB per formula unit
Formation energy from raw total energies: -534 meV per atom
DOS(E_F): 8.8 states/eV/cell